The following is a PBE+U calculation of a relaxed Pr2NiBiO6 crystal, from Alexandria. Values from VASP.

```
&SYSTEM
  ibrav = 0, nat = 20, ntyp = 4
/
ATOMIC_SPECIES
Bi 208.98 Bi.upf
O 16.00 O.upf
Pr 140.91 Pr.upf
Ni 58.69 Ni.upf
CELL_PARAMETERS angstrom
-2.599 4.995 -0.837
-4.299 -2.761 -3.132
-4.440 -0.938 6.921
ATOMIC_POSITIONS crystal
Bi 0.000 0.500 0.000
Bi 0.500 0.000 0.500
O 0.377 0.950 0.760
O 0.877 0.550 0.260
O 0.123 0.450 0.740
O 0.295 0.691 0.436
O 0.685 0.294 0.936
O 0.185 0.206 0.436
O 0.705 0.309 0.564
O 0.205 0.191 0.064
O 0.815 0.794 0.564
O 0.623 0.050 0.240
O 0.315 0.706 0.064
O 0.795 0.809 0.936
Pr 0.523 0.564 0.752
Pr 0.977 0.064 0.748
Pr 0.023 0.936 0.252
Pr 0.477 0.436 0.248
Ni 0.000 0.500 0.500
Ni 0.500 0.000 0.000
```

Properties
Its total DFT energy (no corrections) is -6.72 eV/atom. Its magnetization is 2.31 μB/cell. As for the space group: P2_1/c, No. 14.